VASP calculation (PBE-GGA) on an optimized crystal structure of Ce2Ga4Ni3.

Lattice parameters (Å, degrees): 5.400 5.400 6.719 101.00 101.00 121.69
Fractional positions:
Ce 0.617 0.617 0.234
Ce 0.383 0.383 0.766
Ga 0.010 0.667 0.677
Ga 0.667 0.010 0.677
Ga 0.990 0.333 0.323
Ga 0.333 0.990 0.323
Ni 0.500 0.000 0.000
Ni 0.000 0.000 0.000
Ni 0.000 0.500 0.000

Calculated values
E in eV for the cell shown: -45.3
Formation enthalpy at 0 K in eV per formula unit: -4.0
DOS(E_F) in states/eV per atom: 1.204

=====

VASP calculation (PBE-GGA) on an optimized crystal structure of CuSiTc3.

Lattice parameters (Å, degrees): 4.382 4.382 4.382 90.00 90.00 90.00
Fractional positions:
Si 0.000 0.000 0.000
Tc 0.000 0.500 0.000
Tc 0.000 0.000 0.500
Tc 0.500 0.000 0.000
Cu 0.500 0.500 0.500

Calculated values
Offset from the most stable computed form in eV per atom: 0.0000
E in eV for the cell shown: -35.2
Formation energy without anion corrections in eV/atom: 1.080
DOS(E_F) in states/eV per atom: 1.027

=====

VASP calculation (PBE-GGA) on an optimized crystal structure of BeZnCSO.

Lattice parameters (Å, degrees): 3.366 3.366 20.745 90.00 90.00 120.00
Fractional positions:
C 0.000 0.000 0.760
C 0.333 0.667 0.427
C 0.667 0.333 0.094
Be 0.000 0.000 0.623
Be 0.333 0.667 0.290
Be 0.667 0.333 0.956
Zn 0.000 0.000 0.140
Zn 0.333 0.667 0.806
Zn 0.667 0.333 0.473
S 0.000 0.000 0.253
S 0.333 0.667 0.919
S 0.667 0.333 0.586
O 0.000 0.000 0.700
O 0.333 0.667 0.366
O 0.667 0.333 0.033

Calculated values
Offset from the most stable computed form in eV per atom: 0.0014
E in eV for the cell shown: -77.7
Formation energy without anion corrections in eV/atom: -0.516
DOS(E_F) in states/eV per atom: 0.118

=====

VASP calculation (PBE-GGA) on an optimized crystal structure of AcPr7Y2.

Lattice parameters (Å, degrees): 5.909 9.389 9.389 122.79 90.00 90.00
Fractional positions:
Ac 0.000 0.000 0.000
Pr 0.000 0.766 0.234
Pr 0.000 0.234 0.766
Pr 0.500 0.063 0.296
Pr 0.500 0.937 0.704
Pr 0.500 0.296 0.063
Pr 0.500 0.704 0.937
Pr 0.500 0.500 0.500
Y 0.500 0.704 0.296
Y 0.500 0.296 0.704

Calculated values
Offset from the most stable computed form in eV per atom: 0.4400
E in eV for the cell shown: -44.4
Formation enthalpy at 0 K in eV per formula unit: 6.1
DOS(E_F) in states/eV per atom: 1.550